Computed, not measured: a relaxed Si3TcF crystal at the PBE level of DFT.

The calculated density comes out at 4.71 Mg/m³. Its energy relative to the elements, uncorrected is 2.64 eV/f.u. The crystal system is cubic. As for the calculated volume: 71 Å³/cell. The uncorrected energy comes out at -25.87 eV for the cell shown.

The space group is Pm-3m (No. 221) and the conventional cell measures 4.1410, 4.1410 and 4.1410 Å, with angles of 90.00, 90.00 and 90.00 degrees. The inequivalent atoms are Si at (0.0000, 0.0000, 0.5000), Tc at (0.5000, 0.5000, 0.5000) and F at (0.0000, 0.0000, 0.0000).